Entry 1:
First-principles (GGA-PBE) data for a relaxed structure of SrMgW2, as listed in Alexandria via LeMat-Bulk.

Cell: 5.0922 4.0258 4.0258 Å, 90.00 90.00 90.00°
With the nearest neighbours (Å) after each atom.
Fractional coordinates of all 4 atoms:
1 Mg 0.5000 0.5000 0.0000  4 Sr 2.85
2 Sr 0.5000 0.0000 0.5000  4 Mg 2.85
3 W 0.0000 0.0000 0.0000  4 W 2.85
4 W 0.0000 0.5000 0.5000  4 W 2.85

Output
Density of states at the Fermi level: 0.73 states/eV per atom
Space group: P4/mmm (123)
Mass density: 9.65 g/cm3



Entry 2:
First-principles (GGA-PBE) data for a relaxed structure of DyTm3Hg6, as listed in Alexandria via LeMat-Bulk.

Cell: 5.1222 9.0738 11.0134 Å, 106.71 90.00 90.00°
With the nearest neighbours (Å) after each atom.
Fractional coordinates of all 20 atoms:
1 Dy 0.2500 0.9376 0.6109  8 Hg 3.07-3.29
2 Dy 0.7500 0.0624 0.3891  8 Hg 3.07-3.29
3 Tm 0.2500 0.5193 0.3887  8 Hg 2.99-3.31
4 Tm 0.7500 0.4807 0.6113  8 Hg 2.99-3.31
5 Tm 0.2500 0.3530 0.8011  8 Hg 3.03-3.15
6 Tm 0.7500 0.6470 0.1989  8 Hg 3.03-3.15
7 Tm 0.2500 0.7682 0.9935  8 Hg 3.03-3.36
8 Tm 0.7500 0.2318 0.0065  8 Hg 3.03-3.36
9 Hg 0.2500 0.4633 0.0926  7 Tm 3.08-3.27
10 Hg 0.7500 0.5367 0.9074  7 Tm 3.08-3.27
11 Hg 0.2500 0.1402 0.2026  8 Hg 3.17-3.48, 2 Tm 3.46-3.50, 2 Dy 3.48
12 Hg 0.7500 0.8598 0.7974  8 Hg 3.17-3.48, 2 Tm 3.46-3.50, 2 Dy 3.48
13 Hg 0.2500 0.6461 0.7022  5 Tm 2.99-3.31, 1 Dy 3.09, 2 Hg 3.20
14 Hg 0.7500 0.3539 0.2978  5 Tm 2.99-3.31, 1 Dy 3.09, 2 Hg 3.20
15 Hg 0.2500 0.2477 0.5136  4 Tm 3.03-3.30, 3 Dy 3.15-3.29, 1 Hg 3.28
16 Hg 0.7500 0.7523 0.4864  4 Tm 3.03-3.30, 3 Dy 3.15-3.29, 1 Hg 3.28
17 Hg 0.2500 0.8344 0.3101  4 Tm 3.12-3.36, 3 Dy 3.17-3.25, 3 Hg 3.31-3.42
18 Hg 0.7500 0.1656 0.6899  4 Tm 3.12-3.36, 3 Dy 3.17-3.25, 3 Hg 3.31-3.42
19 Hg 0.2500 0.0638 0.9014  4 Tm 3.03-3.13, 1 Dy 3.07, 3 Hg 3.17-3.19
20 Hg 0.7500 0.9362 0.0986  4 Tm 3.03-3.13, 1 Dy 3.07, 3 Hg 3.17-3.19

Output
Density of states at the Fermi level: 0.61 states/eV per atom
Space group: P2_1/m (11)
Mass density: 12.69 g/cm3



Listing electronic total energy for the structures above in their given order: -6.162; -2.398 eV per atom.